Record 1
## PIrAu2 (GGA-PBE)

Data for PIrAu2 after structural relaxation.

Cell and atoms, written as extended XYZ:
```
4
Lattice="2.861 0.000 0.000 0.000 4.094 0.000 0.000 0.000 5.622" Properties=species:S:1:pos:R:3 pbc="T T T"
P 0.000 0.000 0.000
Ir 0.000 0.000 2.811
Au 1.430 2.047 1.401
Au 1.430 2.047 4.221
```

## Properties
The final energy is -4.679 eV/atom. Its formation energy is 0.53 eV/atom. The density is 15.6 g cm⁻³. As for the total magnetization: 0.00 μB per formula unit.


Record 2
## Li2CaTlRh (GGA-PBE)

Data for Li2CaTlRh after structural relaxation.

Cell and atoms, written as extended XYZ:
```
5
Lattice="4.753 0.000 0.000 0.000 4.753 0.000 0.000 0.000 5.226" Properties=species:S:1:pos:R:3 pbc="T T T"
Li 0.000 2.376 0.000
Li 2.376 0.000 0.000
Ca 0.000 0.000 2.613
Tl 2.376 2.376 2.613
Rh 2.376 2.376 0.000
```

## Properties
The final energy is -3.195 eV/atom. Its formation energy is -0.09 eV/atom. The density is 5.1 g cm⁻³. As for the total magnetization: 0.00 μB per formula unit.


Record 3
## Pm2BeAl3Zn4 (GGA-PBE)

Data for Pm2BeAl3Zn4 after structural relaxation.

Cell and atoms, written as extended XYZ:
```
10
Lattice="4.207 0.000 0.000 0.000 4.207 0.000 0.000 0.000 10.496" Properties=species:S:1:pos:R:3 pbc="T T T"
Pm 0.000 2.103 2.558
Pm 2.103 0.000 7.938
Be 2.103 2.103 0.000
Al 0.000 0.000 0.000
Al 0.000 2.103 6.708
Al 2.103 0.000 3.788
Zn 0.000 0.000 5.248
Zn 0.000 2.103 9.181
Zn 2.103 0.000 1.314
Zn 2.103 2.103 5.248
```

## Properties
The final energy is -3.278 eV/atom. Its formation energy is -0.32 eV/atom. The density is 5.7 g cm⁻³. As for the total magnetization: 0.00 μB per formula unit.


Record 4
## LaTlMo2 (GGA-PBE)

Data for LaTlMo2 after structural relaxation.

Cell and atoms, written as extended XYZ:
```
4
Lattice="0.000 3.445 3.445 3.445 0.000 3.445 3.445 3.445 0.000" Properties=species:S:1:pos:R:3 pbc="T T T"
La 0.000 0.000 0.000
Tl 3.445 3.445 3.445
Mo 1.723 1.723 1.723
Mo 5.168 5.168 5.168
```

## Properties
The final energy is -6.451 eV/atom. Its formation energy is 0.79 eV/atom. The density is 10.9 g cm⁻³. As for the total magnetization: 0.00 μB per formula unit.


Record 5
## Be2CdSi (GGA-PBE)

Data for Be2CdSi after structural relaxation.

Cell and atoms, written as extended XYZ:
```
4
Lattice="2.846 -3.687 0.000 2.846 3.687 0.000 0.000 0.000 2.618" Properties=species:S:1:pos:R:3 pbc="T T T"
Be 1.423 1.843 0.000
Be 1.423 -1.843 0.000
Cd 0.000 0.000 1.309
Si 2.846 0.000 1.309
```

## Properties
The calculation puts the formation energy (no corrections) at 549.1 meV per atom. The final energy is -2.899 eV/atom. The density is 4.8 g cm⁻³. As for the total magnetization: 0.00 μB per formula unit.


Record 6
## Ac8PrSm6 (GGA-PBE)

Data for Ac8PrSm6 after structural relaxation.

Cell and atoms, written as extended XYZ:
```
15
Lattice="5.071 2.928 7.152 -5.071 2.928 7.152 0.000 -5.856 7.152" Properties=species:S:1:pos:R:3 pbc="T T T"
Ac -3.002 0.127 8.070
Ac 0.000 0.000 4.945
Ac -1.611 -2.536 13.387
Ac 1.391 -2.663 8.070
Ac -1.391 2.663 13.387
Ac 1.611 2.536 8.070
Ac 0.000 0.000 16.512
Ac 3.001 -0.127 13.387
Pr 0.000 0.000 10.728
Sm -1.581 -3.137 9.929
Sm -3.507 -0.199 11.528
Sm -1.926 2.938 9.929
Sm 1.926 -2.938 11.528
Sm 3.507 0.199 9.929
Sm 1.581 3.137 11.528
```

## Properties
The final energy is -4.162 eV/atom. Its formation energy is 0.24 eV/atom. The density is 7.5 g cm⁻³. As for the total magnetization: 0.00 μB per formula unit.


Record 7
## GeAsSe2 (GGA-PBE)

Data for GeAsSe2 after structural relaxation.

Cell and atoms, written as extended XYZ:
```
4
Lattice="1.853 1.070 8.287 -1.853 1.070 8.287 0.000 -2.140 8.287" Properties=species:S:1:pos:R:3 pbc="T T T"
Ge 0.000 0.000 0.000
As 0.000 0.000 12.431
Se 0.000 0.000 9.875
Se 0.000 0.000 14.986
```

## Properties
The calculation puts the formation energy (no corrections) at 146.4 meV per atom. The final energy is -3.913 eV/atom. The density is 5.1 g cm⁻³. As for the total magnetization: 0.00 μB per formula unit.


Record 8
## Sm2LuIn (GGA-PBE)

Data for Sm2LuIn after structural relaxation.

Cell and atoms, written as extended XYZ:
```
4
Lattice="4.853 0.000 0.000 0.000 4.853 0.000 0.000 0.000 4.919" Properties=species:S:1:pos:R:3 pbc="T T T"
Sm 0.000 2.426 0.000
Sm 2.426 0.000 0.000
Lu 0.000 0.000 2.459
In 2.426 2.426 2.459
```

## Properties
The final energy is -4.438 eV/atom. Its formation energy is -0.26 eV/atom. The density is 8.5 g cm⁻³. As for the total magnetization: 0.00 μB per formula unit.


Record 9
## Al8FeNi2 (GGA-PBE)

Data for Al8FeNi2 after structural relaxation.

Cell and atoms, written as extended XYZ:
```
11
Lattice="-1.958 3.395 5.787 1.958 -3.395 5.787 1.958 3.395 -5.787" Properties=species:S:1:pos:R:3 pbc="T T T"
Al 1.958 1.871 -1.856
Al 0.000 0.000 1.683
Al 0.000 2.056 0.000
Al 1.958 1.871 1.856
Al 0.000 1.524 3.932
Al 0.000 4.735 0.000
Al 0.000 0.000 9.891
Al 0.000 1.524 7.643
Fe 1.958 0.000 0.000
Ni 1.958 0.000 3.637
Ni 0.000 3.395 2.151
```

## Properties
The final energy is -4.859 eV/atom. Its formation energy is -0.32 eV/atom. The density is 4.2 g cm⁻³. As for the total magnetization: 0.00 μB per formula unit.


Record 10
## KAlPb3 (GGA-PBE)

Data for KAlPb3 after structural relaxation.

Cell and atoms, written as extended XYZ:
```
5
Lattice="5.968 0.000 0.000 0.000 5.968 0.000 0.000 0.000 5.968" Properties=species:S:1:pos:R:3 pbc="T T T"
K 0.000 0.000 0.000
Al 2.984 2.984 2.984
Pb 0.000 0.000 2.984
Pb 0.000 2.984 0.000
Pb 2.984 0.000 0.000
```

## Properties
The final energy is -2.104 eV/atom. Its formation energy is 1.09 eV/atom. The density is 5.4 g cm⁻³. As for the total magnetization: 0.00 μB per formula unit.


Record 11
## CoAuSe2 (GGA-PBE)

Data for CoAuSe2 after structural relaxation.

Cell and atoms, written as extended XYZ:
```
4
Lattice="4.974 0.000 0.000 0.000 3.765 0.000 -0.916 0.000 5.041" Properties=species:S:1:pos:R:3 pbc="T T T"
Co 0.000 0.000 0.000
Au 4.080 1.882 1.647
Se 1.161 1.882 0.020
Se 3.054 0.000 3.052
```

## Properties
The calculation puts the formation energy (no corrections) at 60.2 meV per atom. The final energy is -4.278 eV/atom. The density is 7.3 g cm⁻³. As for the total magnetization: 0.00 μB per formula unit.


Record 12
## ZnB3Ir3 (GGA-PBE)

Data for ZnB3Ir3 after structural relaxation.

Cell and atoms, written as extended XYZ:
```
14
Lattice="5.822 0.000 0.000 0.000 5.822 0.000 0.000 0.000 5.822" Properties=species:S:1:pos:R:3 pbc="T T T"
Zn 0.000 0.000 0.000
Zn 2.911 2.911 2.911
B 0.000 1.456 2.911
B 0.000 4.367 2.911
B 1.456 2.911 0.000
B 2.911 0.000 1.456
B 2.911 0.000 4.367
B 4.367 2.911 0.000
Ir 0.000 2.911 1.456
Ir 0.000 2.911 4.367
Ir 1.456 0.000 2.911
Ir 2.911 1.456 0.000
Ir 2.911 4.367 0.000
Ir 4.367 0.000 2.911
```

## Properties
The final energy is -6.689 eV/atom. Its formation energy is 0.15 eV/atom. The density is 11.3 g cm⁻³. As for the total magnetization: 0.00 μB per formula unit.


Record 13
## LiAgPt (GGA-PBE)

Data for LiAgPt after structural relaxation.

Cell and atoms, written as extended XYZ:
```
3
Lattice="0.000 2.896 2.896 2.896 0.000 2.896 2.896 2.896 0.000" Properties=species:S:1:pos:R:3 pbc="T T T"
Li 0.000 0.000 0.000
Ag 4.345 4.345 4.345
Pt 1.448 1.448 1.448
```

## Properties
The final energy is -3.580 eV/atom. Its formation energy is 0.02 eV/atom. The density is 10.6 g cm⁻³. As for the total magnetization: 0.00 μB per formula unit.


Record 14
## SrPuTl2Se4 (GGA-PBE)

Data for SrPuTl2Se4 after structural relaxation.

Cell and atoms, written as extended XYZ:
```
8
Lattice="7.549 0.000 0.000 0.000 4.347 0.000 -2.480 0.000 7.616" Properties=species:S:1:pos:R:3 pbc="T T T"
Sr 0.000 0.000 0.000
Pu 3.774 2.173 0.000
Tl -1.240 2.173 3.808
Tl 2.534 0.000 3.808
Se 1.471 2.173 1.627
Se 0.198 0.000 6.047
Se 4.871 0.000 1.569
Se 3.598 2.173 5.989
```

## Properties
The calculation puts the formation energy (no corrections) at -1132.2 meV per atom. The final energy is -5.468 eV/atom. The density is 7.0 g cm⁻³. As for the total magnetization: 4.02 μB per formula unit.


Record 15
## NpNb2W (GGA-PBE)

Data for NpNb2W after structural relaxation.

Cell and atoms, written as extended XYZ:
```
4
Lattice="1.545 0.892 9.194 -1.545 0.892 9.194 0.000 -1.784 9.194" Properties=species:S:1:pos:R:3 pbc="T T T"
Np 0.000 0.000 0.000
Nb 0.000 0.000 6.689
Nb 0.000 0.000 20.893
W 0.000 0.000 13.791
```

## Properties
The final energy is -11.071 eV/atom. Its formation energy is 0.44 eV/atom. The density is 13.3 g cm⁻³. As for the total magnetization: 3.17 μB per formula unit.


Record 16
## Hf2NiC (GGA-PBE)

Data for Hf2NiC after structural relaxation.

Cell and atoms, written as extended XYZ:
```
8
Lattice="-3.092 3.092 3.392 3.092 -3.092 3.392 3.092 3.092 -3.392" Properties=species:S:1:pos:R:3 pbc="T T T"
Hf 4.637 1.270 -0.848
Hf 1.270 1.546 0.848
Hf -1.546 1.821 2.544
Hf 1.821 1.546 4.240
Ni 3.092 0.000 1.696
Ni 0.000 0.000 3.392
C 0.000 0.000 0.000
C 0.000 3.092 1.696
```

## Properties
The final energy is -8.840 eV/atom. Its formation energy is -0.11 eV/atom. The density is 11.0 g cm⁻³. As for the total magnetization: 0.00 μB per formula unit.


Record 17
## Ti2Co2I (GGA-PBE)

Data for Ti2Co2I after structural relaxation.

Cell and atoms, written as extended XYZ:
```
10
Lattice="6.945 0.000 0.000 0.000 6.945 0.000 0.000 0.000 3.248" Properties=species:S:1:pos:R:3 pbc="T T T"
Ti 1.045 2.428 0.000
Ti 2.428 5.900 0.000
Ti 4.517 1.045 0.000
Ti 5.900 4.517 0.000
Co 0.884 4.356 1.624
Co 2.589 0.884 1.624
Co 4.356 6.061 1.624
Co 6.061 2.589 1.624
I 0.000 0.000 1.624
I 3.473 3.473 1.624
```

## Properties
The calculation puts the formation energy (no corrections) at 39.9 meV per atom. The final energy is -6.270 eV/atom. The density is 7.2 g cm⁻³. As for the total magnetization: 0.00 μB per formula unit.


Record 18
## PaSi4Ge (GGA-PBE)

Data for PaSi4Ge after structural relaxation.

Cell and atoms, written as extended XYZ:
```
6
Lattice="0.000 3.679 3.679 3.679 0.000 3.679 3.679 3.679 0.000" Properties=species:S:1:pos:R:3 pbc="T T T"
Pa 0.000 0.000 0.000
Si 2.779 2.779 2.779
Si 4.578 4.578 2.779
Si 4.578 2.779 4.578
Si 2.779 4.578 4.578
Ge 5.518 5.518 5.518
```

## Properties
The calculation puts the formation energy (no corrections) at -51.1 meV per atom. The final energy is -6.019 eV/atom. The density is 6.9 g cm⁻³. As for the total magnetization: 0.00 μB per formula unit.


Record 19
## KRbNa2 (GGA-PBE)

Data for KRbNa2 after structural relaxation.

Cell and atoms, written as extended XYZ:
```
8
Lattice="7.064 0.000 0.000 0.000 10.129 0.000 -3.514 0.000 6.601" Properties=species:S:1:pos:R:3 pbc="T T T"
K -0.001 2.532 1.128
K 3.551 7.597 5.473
Rb 0.012 2.532 5.639
Rb 3.538 7.597 0.962
Na 0.009 5.887 3.227
Na 0.009 9.307 3.227
Na 3.541 0.822 3.374
Na 3.541 4.243 3.374
```

## Properties
The final energy is -1.117 eV/atom. Its formation energy is 0.06 eV/atom. The density is 1.2 g cm⁻³. As for the total magnetization: 0.00 μB per formula unit.


Record 20
## CuAsP2 (GGA-PBE)

Data for CuAsP2 after structural relaxation.

Cell and atoms, written as extended XYZ:
```
8
Lattice="-2.690 2.690 5.334 2.690 -2.690 5.334 2.690 2.690 -5.334" Properties=species:S:1:pos:R:3 pbc="T T T"
Cu 0.000 0.000 0.000
Cu 0.000 2.690 2.667
As 2.690 0.000 2.667
As 0.000 0.000 5.334
P 4.036 1.250 -1.333
P 1.250 1.345 1.333
P -1.345 1.441 4.000
P 1.441 1.345 6.667
```

## Properties
The final energy is -4.849 eV/atom. Its formation energy is 0.04 eV/atom. The density is 4.3 g cm⁻³. As for the total magnetization: 0.00 μB per formula unit.